No. 1
NaGaSi3 after structural relaxation. Source: Alexandria, functional GGA-PBE.

Values from the calculation:
The value obtained for the total energy is -2.695 eV/atom. Its formation energy from raw total energies is 1.43 eV/atom. The polymorph energy (0 for the lowest one) comes out at 61.6 kJ/mol of atoms. For the total magnetization, the calculation gives 0.00 Bohr magnetons per cell.

extended XYZ file:
```
5
Lattice="-2.6054 3.3855 2.5411 1.0927 -2.3448 4.2444 4.0896 2.7834 0.4848" Properties=species:S:1:pos:R:3 pbc="T T T"
Si -1.3027 1.6928 1.2706
Si 2.0448 1.3917 0.2424
Si 0.5464 -1.1724 2.1222
Ga 1.2885 1.9120 3.6352
Na 0.0000 0.0000 0.0000
```

No. 2
NaGaSi after structural relaxation. Source: Alexandria, functional GGA-PBE.

Values from the calculation:
The value obtained for the total energy is -3.130 eV/atom. Its formation energy from raw total energies is 0.13 eV/atom. For the total magnetization, the calculation gives 0.00 Bohr magnetons per cell.

extended XYZ file:
```
6
Lattice="2.4988 -6.8555 0.0000 2.4988 6.8555 0.0000 0.0000 0.0000 3.6149" Properties=species:S:1:pos:R:3 pbc="T T T"
Na 2.4988 -1.2995 0.9037
Na 2.4988 1.2995 2.7112
Si 2.4988 6.0812 2.7112
Si 2.4988 -6.0812 0.9037
Ga 2.4988 3.8834 0.9037
Ga 2.4988 -3.8834 2.7112
```

No. 3
Na2ZnGaSi after structural relaxation. Source: Alexandria, functional GGA-PBE.

Values from the calculation:
The value obtained for the total energy is -1.884 eV/atom. Its formation energy from raw total energies is 0.59 eV/atom. For the total magnetization, the calculation gives 0.00 Bohr magnetons per cell.

extended XYZ file:
```
5
Lattice="5.4604 0.0000 0.0000 0.0000 4.5953 0.0000 0.0000 0.0000 5.4604" Properties=species:S:1:pos:R:3 pbc="T T T"
Na 2.7302 0.0000 0.0000
Na 0.0000 0.0000 2.7302
Zn 0.0000 2.2977 0.0000
Ga 0.0000 0.0000 0.0000
Si 2.7302 2.2977 2.7302
```

No. 4
Na2Zn3Ga4Si after structural relaxation. Source: Alexandria, functional GGA-PBE.

Values from the calculation:
The value obtained for the total energy is -2.446 eV/atom. Its formation energy from raw total energies is -0.05 eV/atom. For the total magnetization, the calculation gives 0.00 Bohr magnetons per cell.

extended XYZ file:
```
10
Lattice="-1.5674 -1.7389 -3.2849 2.5506 -3.0963 0.4221 -7.8529 -5.5572 6.6888" Properties=species:S:1:pos:R:3 pbc="T T T"
Zn 0.1303 -2.3584 1.1863
Zn -7.4916 -5.6164 4.0711
Zn -3.9264 -2.7786 3.3444
Ga 0.4916 -2.4176 -1.4314
Ga -5.8146 -4.4297 2.6428
Ga 0.0000 0.0000 0.0000
Ga -1.5466 -3.5451 2.6146
Na -4.6491 -5.7407 5.2573
Na -2.7121 -2.2341 0.0001
Si -3.4348 -5.1962 1.9130
```

No. 5
NaSmGa4 after structural relaxation. Source: Alexandria, functional GGA-PBE.

Values from the calculation:
For the formation energy, the calculation gives -36.8 kJ/mol of atoms. The value obtained for the total energy is -3.405 eV/atom. For the total magnetization, the calculation gives 0.00 Bohr magnetons per cell.

extended XYZ file:
```
6
Lattice="4.0297 0.0000 1.9367 1.7852 5.2764 1.4463 -0.2822 0.0275 5.7479" Properties=species:S:1:pos:R:3 pbc="T T T"
Sm -0.1411 0.0137 2.8740
Na 0.8926 2.6382 0.7231
Ga 2.6360 4.6503 7.4170
Ga 2.8967 0.6536 1.7139
Ga 2.0527 2.4256 3.4699
Ga 3.4800 2.8782 5.6610
```

No. 6
NaSmGa4 after structural relaxation. Source: Alexandria, functional GGA-PBE.

Values from the calculation:
For the formation energy, the calculation gives -31.9 kJ/mol of atoms. The value obtained for the total energy is -3.355 eV/atom. For the total magnetization, the calculation gives 0.00 Bohr magnetons per cell.

extended XYZ file:
```
6
Lattice="5.5786 0.0000 0.0000 2.7893 4.8312 0.0000 2.7893 1.6104 4.5549" Properties=species:S:1:pos:R:3 pbc="T T T"
Ga 6.9770 4.0282 2.8483
Ga 5.5786 3.2208 0.5648
Ga 4.1803 4.0282 2.8483
Ga 5.5786 1.6061 2.8483
Sm 0.0000 0.0000 0.0000
Na 2.7893 1.6104 1.1387
```

No. 7
NaSmGa2 after structural relaxation. Source: Alexandria, functional GGA-PBE.

Values from the calculation:
For the formation energy, the calculation gives -29.0 kJ/mol of atoms. The value obtained for the total energy is -3.324 eV/atom. The polymorph energy (0 for the lowest one) comes out at 0.5 kJ/mol of atoms. For the total magnetization, the calculation gives 0.00 Bohr magnetons per cell.

extended XYZ file:
```
4
Lattice="5.0678 0.0000 0.0000 2.5339 4.3889 0.0000 2.5339 1.4630 4.1379" Properties=species:S:1:pos:R:3 pbc="T T T"
Ga 2.5339 1.4630 1.0345
Ga 7.6017 4.3889 3.1034
Na 5.0678 2.9259 2.0689
Sm 0.0000 0.0000 0.0000
```

No. 8
NaSmGa2 after structural relaxation. Source: Alexandria, functional GGA-PBE.

Values from the calculation:
For the formation energy, the calculation gives -29.5 kJ/mol of atoms. The value obtained for the total energy is -3.329 eV/atom. The polymorph energy (0 for the lowest one) comes out at 0.0 kJ/mol of atoms. For the total magnetization, the calculation gives 0.00 Bohr magnetons per cell.

extended XYZ file:
```
4
Lattice="3.7547 0.0000 0.0000 0.0000 4.9992 0.0000 0.0000 0.0000 4.9992" Properties=species:S:1:pos:R:3 pbc="T T T"
Sm 1.8773 0.0000 0.0000
Ga 0.0000 2.4996 0.0000
Ga 0.0000 0.0000 2.4996
Na 1.8773 2.4996 2.4996
```

No. 9
NaTbSmGa after structural relaxation. Source: Alexandria, functional GGA-PBE.

Values from the calculation:
For the formation energy, the calculation gives -12.7 kJ/mol of atoms. The value obtained for the total energy is -3.555 eV/atom. For the total magnetization, the calculation gives 0.00 Bohr magnetons per cell.

extended XYZ file:
```
4
Lattice="-4.5690 2.5744 -0.6755 -3.0546 1.1039 4.1726 -0.4929 4.9933 1.6685" Properties=species:S:1:pos:R:3 pbc="T T T"
Tb 0.0000 0.0000 0.0000
Na -6.0874 6.5037 3.8742
Sm -4.0583 4.3358 2.5828
Ga -2.0291 2.1679 1.2914
```

No. 10
Na3Sm3GaTe8 after structural relaxation. Source: Alexandria, functional GGA-PBE.

Values from the calculation:
The value obtained for the total energy is -4.082 eV/atom. Its formation energy from raw total energies is -1.00 eV/atom. For the total magnetization, the calculation gives 0.00 Bohr magnetons per cell.

extended XYZ file:
```
15
Lattice="8.7876 0.0000 0.0000 -4.3938 7.6147 -0.0343 0.0000 -5.0538 7.7404" Properties=species:S:1:pos:R:3 pbc="T T T"
Te 4.3938 0.0199 5.6969
Te 0.0000 2.5411 2.0091
Te 6.7243 -1.3420 2.1348
Te 4.3938 2.7206 2.1281
Te 2.3305 3.9029 5.5712
Te -2.3305 3.9029 5.5712
Te 0.0000 -0.1597 5.5779
Te 2.0633 -1.3420 2.1348
Na -2.1969 3.8074 -0.0172
Na 0.0000 0.0000 0.0000
Na 2.1969 3.8074 -0.0172
Sm 4.3938 -2.5269 3.8702
Sm 2.1969 1.2805 3.8530
Sm -2.1969 1.2805 3.8530
Ga 0.0000 -2.5269 3.8702
```

No. 11
NaSmTlGa after structural relaxation. Source: Alexandria, functional GGA-PBE.

Values from the calculation:
For the formation energy, the calculation gives -24.8 kJ/mol of atoms. The value obtained for the total energy is -3.115 eV/atom. For the total magnetization, the calculation gives 0.00 Bohr magnetons per cell.

extended XYZ file:
```
4
Lattice="-3.2544 -2.2253 -3.4559 1.6660 -1.0751 -4.8533 0.7445 -4.9759 -1.4738" Properties=species:S:1:pos:R:3 pbc="T T T"
Tl -0.6329 -6.2072 -7.3373
Sm -0.4219 -4.1381 -4.8915
Na 0.0000 0.0000 0.0000
Ga -0.2110 -2.0691 -2.4458
```

No. 12
NaSmZnGa after structural relaxation. Source: Alexandria, functional GGA-PBE.

Values from the calculation:
For the formation energy, the calculation gives -21.2 kJ/mol of atoms. The value obtained for the total energy is -2.805 eV/atom. For the total magnetization, the calculation gives 0.00 Bohr magnetons per cell.

extended XYZ file:
```
4
Lattice="5.0436 0.0000 0.0000 2.5218 4.3679 0.0000 2.5218 1.4560 4.1181" Properties=species:S:1:pos:R:3 pbc="T T T"
Sm 2.5218 1.4560 1.0295
Na 7.5654 4.3679 3.0886
Zn 5.0436 2.9119 2.0591
Ga 0.0000 0.0000 0.0000
```